(1)
# CsMn2I6

An optimized crystal structure of CsMn2I6 (PBE, Alexandria via LeMat-Bulk).

Summary:
* space group: No. 12
* ΔE_f (raw): -584 meV per atom
* final energy: -33.745 eV/cell

a b c (Å): 5.880 9.463 9.439
angles (deg): 107.58 90.00 108.10
Each line ends with the local moment (μB).
Positions (direct):
Cs1 0.000 0.000 0.500  0.00
Mn1 0.767 0.534 0.844  4.07
Mn2 0.233 0.466 0.156  4.07
I1 0.266 0.531 0.891  -0.01
I2 0.734 0.469 0.109  -0.01
I3 0.091 0.181 0.166  -0.01
I4 0.653 0.306 0.588  0.04
I5 0.909 0.819 0.834  -0.01
I6 0.347 0.694 0.412  0.04



(2)
# Cs4MnI6

An optimized crystal structure of Cs4MnI6 (PBE, Alexandria via LeMat-Bulk).

Summary:
* space group: No. 9
* ΔE_f (raw): -1242 meV per atom
* final energy: -71.097 eV/cell

a b c (Å): 8.086 9.305 19.426
angles (deg): 77.65 77.99 64.25
Each line ends with the local moment (μB).
Positions (direct):
Cs1 0.455 0.982 0.604  0.00
Cs2 0.959 0.482 0.104  0.00
Cs3 0.914 0.261 0.429  0.00
Cs4 0.396 0.761 0.929  0.00
Cs5 0.097 0.622 0.683  0.00
Cs6 0.598 0.122 0.183  0.00
Cs7 0.751 0.183 0.807  0.00
Cs8 0.260 0.683 0.307  0.00
Mn1 0.655 0.799 0.411  4.25
Mn2 0.135 0.299 0.911  4.25
I1 0.413 0.567 0.122  0.00
I2 0.898 0.067 0.622  0.00
I3 0.407 0.689 0.486  0.06
I4 0.419 0.189 0.986  0.06
I5 0.510 0.126 0.397  0.04
I6 0.966 0.626 0.897  0.04
I7 0.926 0.148 0.988  0.06
I8 0.937 0.648 0.488  0.06
I9 0.079 0.126 0.244  0.00
I10 0.551 0.626 0.744  0.00
I11 0.261 0.184 0.784  0.04
I12 0.771 0.684 0.284  0.04



(3)
# CsMn4I12

An optimized crystal structure of CsMn4I12 (PBE, Alexandria via LeMat-Bulk).

Summary:
* space group: No. 204
* ΔE_f (raw): -414 meV per atom
* final energy: -63.166 eV/cell

a b c (Å): 9.324 9.324 9.324
angles (deg): 109.47 109.47 109.47
Each line ends with the local moment (μB).
Positions (direct):
Cs1 0.000 0.000 0.000  0.00
Mn1 0.000 0.500 0.000  3.97
Mn2 0.500 0.000 0.000  3.97
Mn3 0.500 0.500 0.500  3.97
Mn4 0.000 0.000 0.500  3.97
I1 0.808 0.306 0.114  0.00
I2 0.306 0.498 0.192  0.00
I3 0.886 0.192 0.694  0.00
I4 0.306 0.114 0.808  0.00
I5 0.114 0.808 0.306  0.00
I6 0.694 0.502 0.808  0.00
I7 0.498 0.192 0.306  0.00
I8 0.502 0.808 0.694  0.00
I9 0.694 0.886 0.192  0.00
I10 0.808 0.694 0.502  0.00
I11 0.192 0.306 0.498  0.00
I12 0.192 0.694 0.886  0.00



(4)
# Cs3MnI

An optimized crystal structure of Cs3MnI (PBE, Alexandria via LeMat-Bulk).

Summary:
* space group: No. 221
* ΔE_f (raw): 53 meV per atom
* final energy: -13.013 eV/cell

a b c (Å): 7.397 7.397 7.397
angles (deg): 90.00 90.00 90.00
Each line ends with the local moment (μB).
Positions (direct):
Cs1 0.000 0.500 0.000  0.00
Cs2 0.000 0.000 0.500  0.00
Cs3 0.500 0.000 0.000  0.00
I1 0.000 0.000 0.000  0.00
Mn1 0.500 0.500 0.500  4.37



(5)
# Cs3MnI6

An optimized crystal structure of Cs3MnI6 (PBE, Alexandria via LeMat-Bulk).

Summary:
* space group: No. 139
* ΔE_f (raw): -1004 meV per atom
* final energy: -31.070 eV/cell

a b c (Å): 9.045 9.045 9.041
angles (deg): 59.99 59.99 90.00
Each line ends with the local moment (μB).
Positions (direct):
Cs1 0.750 0.250 0.500  0.00
Cs2 0.250 0.750 0.500  0.00
Cs3 0.000 0.000 0.000  -0.01
I1 0.282 0.282 0.436  -0.02
I2 0.718 0.718 0.564  -0.02
I3 0.282 0.282 0.000  -0.02
I4 0.718 0.718 0.000  -0.02
I5 0.718 0.282 0.000  -0.01
I6 0.282 0.718 0.000  -0.01
Mn1 0.500 0.500 0.000  3.82



(6)
# Cs2MnI4

An optimized crystal structure of Cs2MnI4 (PBE, Alexandria via LeMat-Bulk).

Summary:
* space group: No. 139
* ΔE_f (raw): -1065 meV per atom
* final energy: -24.531 eV/cell

a b c (Å): 5.902 5.902 10.369
angles (deg): 73.47 73.47 90.00
Each line ends with the local moment (μB).
Positions (direct):
Cs1 0.360 0.360 0.280  0.00
Cs2 0.640 0.640 0.720  0.00
I1 0.152 0.152 0.695  0.03
I2 0.848 0.848 0.305  0.03
I3 0.000 0.500 0.000  0.05
I4 0.500 0.000 0.000  0.05
Mn1 0.000 0.000 0.000  4.38



(7)
# Cs3Mn2I8

An optimized crystal structure of Cs3Mn2I8 (PBE, Alexandria via LeMat-Bulk).

Summary:
* space group: No. 166
* ΔE_f (raw): -935 meV per atom
* final energy: -45.456 eV/cell

a b c (Å): 8.257 8.257 11.971
angles (deg): 69.82 69.82 60.00
Each line ends with the local moment (μB).
Positions (direct):
Cs1 0.000 0.000 0.000  0.00
Cs2 0.790 0.790 0.629  0.00
Cs3 0.210 0.210 0.371  0.00
Mn1 0.594 0.594 0.219  4.03
Mn2 0.406 0.406 0.781  4.03
I1 0.673 0.673 0.980  0.04
I2 0.327 0.327 0.020  0.04
I3 0.221 0.735 0.309  0.00
I4 0.735 0.221 0.309  0.00
I5 0.735 0.735 0.309  0.00
I6 0.265 0.779 0.691  0.00
I7 0.779 0.265 0.691  0.00
I8 0.265 0.265 0.691  0.00



(8)
# Cs3MnI6

An optimized crystal structure of Cs3MnI6 (PBE, Alexandria via LeMat-Bulk).

Summary:
* space group: No. 148
* ΔE_f (raw): -1019 meV per atom
* final energy: -62.449 eV/cell

a b c (Å): 10.371 10.371 10.371
angles (deg): 89.26 89.26 89.26
Each line ends with the local moment (μB).
Positions (direct):
Cs1 0.441 0.926 0.766  0.00
Cs2 0.926 0.766 0.441  0.00
Cs3 0.234 0.559 0.074  0.00
Cs4 0.766 0.441 0.926  0.00
Cs5 0.074 0.234 0.559  0.00
Cs6 0.559 0.074 0.234  0.00
Mn1 0.000 0.000 0.000  3.85
Mn2 0.500 0.500 0.500  3.86
I1 0.246 0.930 0.095  -0.02
I2 0.070 0.905 0.754  -0.02
I3 0.552 0.764 0.452  -0.02
I4 0.905 0.754 0.070  -0.02
I5 0.452 0.552 0.764  -0.02
I6 0.236 0.548 0.448  -0.02
I7 0.764 0.452 0.552  -0.02
I8 0.548 0.448 0.236  -0.02
I9 0.095 0.246 0.930  -0.02
I10 0.448 0.236 0.548  -0.02
I11 0.930 0.095 0.246  -0.02
I12 0.754 0.070 0.905  -0.02



(9)
# CsMn2I7

An optimized crystal structure of CsMn2I7 (PBE, Alexandria via LeMat-Bulk).

Summary:
* space group: No. 65
* ΔE_f (raw): -496 meV per atom
* final energy: -35.007 eV/cell

a b c (Å): 4.670 9.000 11.362
angles (deg): 113.33 90.00 90.00
Each line ends with the local moment (μB).
Positions (direct):
Cs1 0.000 0.000 0.000  0.00
Mn1 0.500 0.633 0.267  3.85
Mn2 0.500 0.367 0.733  3.85
I1 0.000 0.704 0.407  0.00
I2 0.000 0.296 0.593  0.00
I3 0.500 0.666 0.740  -0.03
I4 0.500 0.334 0.260  -0.03
I5 0.500 0.926 0.260  -0.03
I6 0.500 0.074 0.740  -0.03
I7 0.500 0.500 0.000  0.01



(10)
# Cs2Mn2I7

An optimized crystal structure of Cs2Mn2I7 (PBE, Alexandria via LeMat-Bulk).

Summary:
* space group: No. 12
* ΔE_f (raw): -769 meV per atom
* final energy: -39.352 eV/cell

a b c (Å): 7.344 9.284 9.284
angles (deg): 97.88 95.33 95.33
Each line ends with the local moment (μB).
Positions (direct):
Cs1 0.000 0.273 0.727  0.00
Cs2 0.000 0.727 0.273  0.00
Mn1 0.460 0.222 0.222  4.08
Mn2 0.540 0.778 0.778  4.08
I1 0.714 0.896 0.582  -0.01
I2 0.286 0.418 0.104  -0.01
I3 0.286 0.104 0.418  -0.01
I4 0.714 0.582 0.896  -0.01
I5 0.500 0.000 0.000  0.06
I6 0.203 0.672 0.672  0.00
I7 0.797 0.328 0.328  0.00



(11)
# Cs5MnI8

An optimized crystal structure of Cs5MnI8 (PBE, Alexandria via LeMat-Bulk).

Summary:
* space group: No. 82
* ΔE_f (raw): -1148 meV per atom
* final energy: -41.906 eV/cell

a b c (Å): 10.216 10.216 10.216
angles (deg): 113.10 102.44 113.10
Each line ends with the local moment (μB).
Positions (direct):
Cs1 0.025 0.421 0.170  0.00
Cs2 0.830 0.855 0.251  0.00
Cs3 0.749 0.579 0.604  0.00
Cs4 0.500 0.000 0.500  0.00
Cs5 0.396 0.145 0.975  0.00
Mn1 0.250 0.500 0.750  3.75
I1 0.157 0.681 0.920  -0.01
I2 0.080 0.238 0.761  -0.01
I3 0.718 0.193 0.302  -0.01
I4 0.698 0.416 0.892  -0.01
I5 0.476 0.584 0.282  -0.01
I6 0.523 0.762 0.843  -0.01
I7 0.239 0.319 0.477  -0.01
I8 0.108 0.807 0.524  -0.01



(12)
# Cs3MnI6

An optimized crystal structure of Cs3MnI6 (PBE, Alexandria via LeMat-Bulk).

Summary:
* space group: No. 36
* ΔE_f (raw): -1017 meV per atom
* final energy: -62.396 eV/cell

a b c (Å): 6.517 12.687 12.687
angles (deg): 105.88 90.00 90.00
Each line ends with the local moment (μB).
Positions (direct):
Cs1 0.615 0.901 0.709  0.00
Cs2 0.115 0.709 0.901  0.00
Cs3 0.102 0.414 0.586  0.00
Cs4 0.602 0.586 0.414  0.00
Cs5 0.115 0.099 0.291  0.00
Cs6 0.615 0.291 0.099  0.00
Mn1 0.102 0.197 0.803  3.82
Mn2 0.602 0.803 0.197  3.82
I1 0.109 0.735 0.593  -0.09
I2 0.609 0.593 0.735  -0.09
I3 0.209 0.395 0.908  -0.02
I4 0.709 0.908 0.395  -0.02
I5 0.196 0.069 0.931  0.04
I6 0.719 0.229 0.771  -0.01
I7 0.219 0.771 0.229  -0.01
I8 0.696 0.931 0.069  0.04
I9 0.209 0.092 0.605  -0.02
I10 0.709 0.605 0.092  -0.02
I11 0.109 0.407 0.265  -0.09
I12 0.609 0.265 0.407  -0.09



(13)
# Cs3MnI5

An optimized crystal structure of Cs3MnI5 (PBE, Alexandria via LeMat-Bulk).

Summary:
* space group: No. 140
* ΔE_f (raw): -1213 meV per atom
* final energy: -60.795 eV/cell

a b c (Å): 11.153 11.153 11.153
angles (deg): 123.78 123.78 83.58
Each line ends with the local moment (μB).
Positions (direct):
Cs1 0.841 0.659 0.500  0.00
Cs2 0.750 0.750 0.000  0.00
Cs3 0.341 0.841 0.181  0.00
Cs4 0.159 0.341 0.500  0.00
Cs5 0.250 0.250 0.000  0.00
Cs6 0.659 0.159 0.819  0.00
Mn1 0.250 0.750 0.500  4.24
Mn2 0.750 0.250 0.500  4.24
I1 0.491 0.702 0.500  0.04
I2 0.509 0.298 0.500  0.04
I3 0.702 0.202 0.211  0.04
I4 0.798 0.009 0.500  0.04
I5 0.500 0.500 0.000  -0.02
I6 0.202 0.991 0.500  0.04
I7 0.009 0.509 0.211  0.04
I8 0.298 0.798 0.789  0.04
I9 0.991 0.491 0.789  0.04
I10 0.000 0.000 0.000  -0.02



(14)
# Cs2MnI4

An optimized crystal structure of Cs2MnI4 (PBE, Alexandria via LeMat-Bulk).

Summary:
* space group: No. 11
* ΔE_f (raw): -1123 meV per atom
* final energy: -49.875 eV/cell

a b c (Å): 8.163 8.453 11.092
angles (deg): 90.00 109.38 90.00
Each line ends with the local moment (μB).
Positions (direct):
Cs1 0.702 0.750 0.038  0.00
Cs2 0.298 0.250 0.962  0.00
Cs3 0.202 0.250 0.416  0.00
Cs4 0.798 0.750 0.584  0.00
Mn1 0.304 0.750 0.215  4.26
Mn2 0.696 0.250 0.785  4.26
I1 0.517 0.498 0.277  0.05
I2 0.144 0.750 0.958  0.04
I3 0.856 0.250 0.042  0.04
I4 0.517 0.002 0.277  0.05
I5 0.912 0.250 0.646  0.05
I6 0.483 0.998 0.723  0.05
I7 0.483 0.502 0.723  0.05
I8 0.088 0.750 0.354  0.05



(15)
# CsMn2I

An optimized crystal structure of CsMn2I (PBE, Alexandria via LeMat-Bulk).

Summary:
* space group: No. 225
* ΔE_f (raw): 1086 meV per atom
* final energy: -16.400 eV/cell

a b c (Å): 5.350 5.350 5.350
angles (deg): 60.00 60.00 60.00
Each line ends with the local moment (μB).
Positions (direct):
Cs1 0.500 0.500 0.500  0.07
I1 0.000 0.000 0.000  0.09
Mn1 0.250 0.250 0.250  4.05
Mn2 0.750 0.750 0.750  4.05



(16)
# CsMnI2

An optimized crystal structure of CsMnI2 (PBE, Alexandria via LeMat-Bulk).

Summary:
* space group: No. 166
* ΔE_f (raw): -481 meV per atom
* final energy: -15.048 eV/cell

a b c (Å): 6.345 6.345 8.859
angles (deg): 69.02 69.02 60.00
Each line ends with the local moment (μB).
Positions (direct):
Cs1 0.500 0.500 0.500  0.00
I1 0.105 0.105 0.685  -0.01
I2 0.895 0.895 0.315  -0.01
Mn1 0.000 0.000 0.000  3.81



(17)
# CsMnI2

An optimized crystal structure of CsMnI2 (PBE, Alexandria via LeMat-Bulk).

Summary:
* space group: No. 225
* ΔE_f (raw): -256 meV per atom
* final energy: -14.147 eV/cell

a b c (Å): 6.161 6.161 6.161
angles (deg): 60.00 60.00 60.00
Each line ends with the local moment (μB).
Positions (direct):
Cs1 0.500 0.500 0.500  0.01
I1 0.250 0.250 0.250  0.11
I2 0.750 0.750 0.750  0.11
Mn1 0.000 0.000 0.000  4.84



(18)
# Cs2MnI6N

An optimized crystal structure of Cs2MnI6N (PBE, Alexandria via LeMat-Bulk).

Summary:
* space group: No. 139
* ΔE_f (raw): -297 meV per atom
* final energy: -31.472 eV/cell

a b c (Å): 7.879 7.879 8.429
angles (deg): 62.14 62.14 90.00
Each line ends with the local moment (μB).
Positions (direct):
Cs1 0.750 0.250 0.500  0.00
Cs2 0.250 0.750 0.500  0.00
I1 0.211 0.211 0.578  0.02
I2 0.789 0.789 0.422  0.02
I3 0.269 0.269 0.000  0.03
I4 0.731 0.731 0.000  0.03
I5 0.731 0.269 0.000  0.04
I6 0.269 0.731 0.000  0.04
Mn1 0.000 0.000 0.000  4.11
N1 0.500 0.500 0.000  0.88



(19)
# CsMnI2N

An optimized crystal structure of CsMnI2N (PBE, Alexandria via LeMat-Bulk).

Summary:
* space group: No. 123
* ΔE_f (raw): -262 meV per atom
* final energy: -22.757 eV/cell

a b c (Å): 6.297 6.297 3.757
angles (deg): 90.00 90.00 90.00
Each line ends with the local moment (μB).
Positions (direct):
Cs1 0.500 0.500 0.500  0.00
I1 0.000 0.500 0.000  -0.01
I2 0.500 0.000 0.000  -0.01
Mn1 0.000 0.000 0.000  3.47
N1 0.000 0.000 0.500  -0.53



(20)
# Cs2NaMnI6

An optimized crystal structure of Cs2NaMnI6 (PBE, Alexandria via LeMat-Bulk).

Summary:
* space group: No. 225
* ΔE_f (raw): -986 meV per atom
* final energy: -31.360 eV/cell

a b c (Å): 8.456 8.456 8.457
angles (deg): 60.00 60.00 90.00
Each line ends with the local moment (μB).
Positions (direct):
Cs1 0.750 0.250 0.500  0.00
Cs2 0.250 0.750 0.500  0.00
I1 0.234 0.234 0.531  -0.02
I2 0.766 0.766 0.469  -0.02
I3 0.234 0.234 0.000  -0.02
I4 0.766 0.766 0.000  -0.02
I5 0.766 0.234 0.000  -0.02
I6 0.234 0.766 0.000  -0.02
Mn1 0.000 0.000 0.000  3.86
Na1 0.500 0.500 0.000  0.01